First-principles (GGA-PBE) data for a relaxed structure of Ac2LaSi, as listed in Alexandria via LeMat-Bulk.

Cell: 4.0138 4.0138 8.6702 Å, 90.00 90.00 90.00°
Fractional coordinates of all 4 atoms:
Ac  0.0000  0.0000  0.6921
Ac  0.0000  0.0000  0.3080
Si  0.5000  0.5000  0.5000
La  0.5000  0.5000  0.0000

Values from the calculation:
ΔE_f (raw) ... -0.143 eV/atom
M_tot ... 0.00 μB per formula unit
DOS at the Fermi energy ... 6.75 states/eV/cell
Final energy ... -0.3517 Ry per atom
Space-group type ... No. 123
Theoretical density ... 7.38 Mg/m³
Energy relative to the lowest polymorph listed for this composition ... 0 meV per atom